Record 1
The following is a DFT calculation (PBE-GGA) of a geometry-optimized Tb2YEr7 structure.

Distance to the lowest polymorph of the same formula = 6.81 eV per formula unit
ΔH_f (0 K) = 0.703 eV per atom
V = 38.095 Å³/atom

```
Tb2YEr7
1.0
5.170 0.000 0.000
0.000 9.536 -0.801
0.000 -5.016 8.149
Er Tb Y
7 2 1
Cartesian
2.585 -0.774 2.285
2.585 2.389 0.340
2.585 2.131 7.008
2.585 5.293 5.063
2.585 2.260 3.674
0.000 -2.160 6.392
0.000 6.679 0.956
2.585 5.192 1.871
2.585 -0.673 5.477
0.000 0.000 0.000
```


Record 2
The following is a DFT calculation (PBE-GGA) of a geometry-optimized VTcP3 structure.

Distance to the lowest polymorph of the same formula = 0.00 eV per formula unit
ΔH_f (0 K) = 0.752 eV per atom
V = 19.502 Å³/atom

```
VTcP3
1.0
4.603 0.000 0.000
0.000 4.603 0.000
0.000 0.000 4.603
P Tc V
3 1 1
Cartesian
2.301 0.000 0.000
0.000 0.000 2.301
0.000 2.301 0.000
0.000 0.000 0.000
2.301 2.301 2.301
```


Record 3
The following is a DFT calculation (PBE-GGA) of a geometry-optimized Pm12YIn3 structure.

ΔH_f (0 K) = -0.197 eV per atom
V = 31.302 Å³/atom

```
Pm12YIn3
1.0
4.971 0.000 0.000
0.000 4.971 0.000
0.000 0.000 20.270
Pm In Y
12 3 1
Cartesian
0.000 2.485 7.643
2.485 2.485 0.000
2.485 0.000 17.608
2.485 2.485 15.109
2.485 2.485 10.135
0.000 2.485 12.628
2.485 0.000 7.643
0.000 2.485 2.663
0.000 2.485 17.608
2.485 0.000 12.628
2.485 0.000 2.663
2.485 2.485 5.162
0.000 0.000 15.078
0.000 0.000 10.135
0.000 0.000 5.193
0.000 0.000 0.000
```


Record 4
The following is a DFT calculation (PBE-GGA) of a geometry-optimized Ca3Zr5S12 structure.

ΔE_f (raw) = -35.220 kcal/mol of atoms
V = 24.900 Å³/atom

```
Ca3Zr5S12
1.0
-8.143 -11.053 0.069
10.934 -2.421 -7.941
4.152 2.706 12.803
S Zr Ca
48 20 12
Cartesian
-1.645 -3.770 3.885
11.266 -2.698 5.410
3.163 -0.137 4.559
3.089 -8.667 7.058
4.929 -3.741 1.061
-2.799 -7.928 10.592
-2.532 -10.810 0.753
1.393 -8.816 -2.363
8.472 -4.679 5.018
8.589 -6.998 1.047
2.014 -7.027 3.870
3.227 -3.879 4.580
5.550 -1.952 7.295
7.694 -4.363 -0.988
2.087 -0.852 1.308
1.804 -4.936 -2.097
6.058 -3.738 -4.213
5.792 -6.412 3.063
0.886 -7.030 9.144
-0.751 -6.405 5.920
10.752 -4.386 2.448
3.717 -6.890 0.352
3.979 -6.551 -4.228
9.743 -2.840 -5.661
3.423 -11.207 -6.751
2.494 -0.254 8.411
3.520 0.439 11.682
9.475 0.042 4.178
0.432 -3.236 6.583
-0.703 -11.616 -2.325
0.245 -8.816 1.199
5.139 -5.832 7.028
4.856 -9.916 3.623
1.152 -4.356 1.868
4.449 -10.514 -3.479
-3.871 -8.587 7.329
6.511 -7.532 -1.652
-1.529 -6.089 -0.086
10.815 -2.181 -2.397
-3.809 -6.382 2.483
3.854 -2.102 -2.127
-4.323 -8.070 -0.479
2.964 -4.217 9.160
9.010 -1.623 1.196
6.698 -1.952 3.732
7.646 0.848 7.257
3.781 -10.632 0.373
-2.067 -9.145 3.735
5.516 -8.350 -3.704
1.396 -6.737 -3.936
-1.996 -4.174 6.436
3.472 -5.384 2.466
7.543 0.142 2.431
8.051 -4.543 -5.331
0.199 -4.412 -0.359
0.000 0.000 0.000
6.744 -6.356 5.290
-1.797 -8.586 6.077
-4.071 -5.527 0.035
-1.108 -6.225 10.262
2.823 -9.155 4.700
1.427 -2.418 8.636
4.120 -1.613 0.232
5.467 -1.210 -3.971
2.076 1.353 6.402
8.740 -2.183 -1.146
4.659 -1.980 5.041
2.284 -8.788 -0.110
-0.799 -6.499 2.859
11.663 -1.471 2.663
1.595 -11.149 -4.295
2.125 -5.787 6.668
7.742 -4.269 2.072
6.055 -8.717 1.106
8.431 -1.909 6.257
5.349 0.381 9.226
-4.720 -9.298 2.269
-1.488 -8.859 -1.325
4.818 -4.982 -1.736
0.888 -2.051 3.826
```


What did we get for Fermi-level density of states? Answer: 1.217; 0.893; 1.431; 0.483 states/eV/atom, in the order shown.